Computed, not measured: a relaxed CaCd2Fe crystal at the PBE-GGA level of DFT.

Values from the calculation:
Total energy: -23.1 eV for the cell shown
Spin magnetization: 2.33 μB/f.u.
Formation enthalpy at 0 K: 0.74 eV/f.u.

a b c (Å): 4.509 4.509 8.412
angles (deg): 90.00 90.00 90.00
Space group I4/mmm (No. 139)
Inequivalent atoms, fractional coordinates:
Ca 0.000 0.000 0.000 (multiplicity 2)
Cd 0.000 0.500 0.250 (multiplicity 4)
Fe 0.000 0.000 0.500 (multiplicity 2)

Computed, not measured: a relaxed La2PmHo6 crystal at the PBE-GGA level of DFT.

Values from the calculation:
Total energy: -40.0 eV for the cell shown
Spin magnetization: 0.00 μB/f.u.
Formation enthalpy at 0 K: 2.06 eV/f.u.

a b c (Å): 7.6103 7.6103 6.0130
angles (deg): 90.00 90.00 120.00
Space group P-3m1 (No. 164)
Inequivalent atoms, fractional coordinates:
La 0.3333 0.6667 0.2846 (multiplicity 2)
Pm 0.0000 0.0000 0.5000 (multiplicity 1)
Ho 0.1878 0.3757 0.7945 (multiplicity 6)

Computed, not measured: a relaxed RbTiIN2 crystal at the PBE-GGA level of DFT.

Values from the calculation:
Total energy: -25.9 eV for the cell shown
Spin magnetization: 0.42 μB/f.u.
ΔE_f (raw): 0.2245 eV per atom

a b c (Å): 4.268 4.268 5.820
angles (deg): 90.00 90.00 90.00
Space group P4/mmm (No. 123)
Inequivalent atoms, fractional coordinates:
Rb 0.000 0.000 0.000 (multiplicity 1)
Ti 0.500 0.500 0.500 (multiplicity 1)
I 0.500 0.500 0.000 (multiplicity 1)
N 0.000 0.500 0.500 (multiplicity 2)

Computed, not measured: a relaxed NaZrGaCl6 crystal at the PBE-GGA level of DFT.

Values from the calculation:
Total energy: -76.3 eV for the cell shown
Spin magnetization: 0.00 μB/f.u.
ΔE_f (raw): -1.5738 eV per atom

a b c (Å): 6.9834 6.9834 12.6555
angles (deg): 90.00 90.00 120.00
Space group P-31c (No. 163)
Inequivalent atoms, fractional coordinates:
Na 0.3333 0.6667 0.2500 (multiplicity 2)
Zr 0.3333 0.6667 0.7500 (multiplicity 2)
Ga 0.0000 0.0000 0.0000 (multiplicity 2)
Cl 0.0357 0.3798 0.6362 (multiplicity 12)

Computed, not measured: a relaxed SrCaTl4 crystal at the PBE-GGA level of DFT.

Values from the calculation:
Total energy: -14.1 eV for the cell shown
Spin magnetization: 0.00 μB/f.u.
Formation enthalpy at 0 K: -0.93 eV/f.u.

a b c (Å): 3.819 5.824 8.881
angles (deg): 90.00 90.00 90.00
Space group Pmmm (No. 47)
Inequivalent atoms, fractional coordinates:
Sr 0.000 0.000 0.000 (multiplicity 1)
Ca 0.500 0.500 0.500 (multiplicity 1)
Tl 0.000 0.500 0.192 (multiplicity 2)
Tl 0.500 0.000 0.321 (multiplicity 2)

Computed, not measured: a relaxed ZrTiRh2I crystal at the PBE-GGA level of DFT.

Values from the calculation:
Total energy: -27.8 eV for the cell shown
Spin magnetization: 0.00 μB/f.u.
ΔE_f (raw): 0.9847 eV per atom

a b c (Å): 4.847 4.847 5.128
angles (deg): 90.00 90.00 90.00
Space group P4/mmm (No. 123)
Inequivalent atoms, fractional coordinates:
Zr 0.000 0.000 0.000 (multiplicity 1)
Ti 0.000 0.000 0.500 (multiplicity 1)
Rh 0.000 0.500 0.000 (multiplicity 2)
I 0.500 0.500 0.500 (multiplicity 1)

Computed, not measured: a relaxed Ga4I5Br2 crystal at the PBE-GGA level of DFT.

Values from the calculation:
Total energy: -54.8 eV for the cell shown
Spin magnetization: 0.00 μB/f.u.
ΔE_f (raw): -0.3793 eV per atom

a b c (Å): 14.655 7.570 8.901
angles (deg): 90.00 92.36 90.00
Space group C2/m (No. 12)
Inequivalent atoms, fractional coordinates:
Ga 0.002 0.000 0.179 (multiplicity 4)
Ga 0.210 0.500 0.951 (multiplicity 4)
I 0.000 0.000 0.500 (multiplicity 2)
I 0.177 0.251 0.186 (multiplicity 8)
Br 0.074 0.500 0.797 (multiplicity 4)

Computed, not measured: a relaxed ZnReI3 crystal at the PBE-GGA level of DFT.

Values from the calculation:
Total energy: -15.1 eV for the cell shown
Spin magnetization: 3.09 μB/f.u.
ΔE_f (raw): 0.6558 eV per atom

a b c (Å): 5.557 5.557 5.557
angles (deg): 90.00 90.00 90.00
Space group Pm-3m (No. 221)
Inequivalent atoms, fractional coordinates:
Zn 0.000 0.000 0.000 (multiplicity 1)
Re 0.500 0.500 0.500 (multiplicity 1)
I 0.000 0.500 0.500 (multiplicity 3)

Computed, not measured: a relaxed Ac4InAg2Pd crystal at the PBE-GGA level of DFT.

Values from the calculation:
Total energy: -100.4 eV for the cell shown
Spin magnetization: 0.00 μB/f.u.
Formation enthalpy at 0 K: -3.39 eV/f.u.

a b c (Å): 5.6149 5.6149 27.2120
angles (deg): 90.00 90.00 120.00
Space group R-3m (No. 166, hexagonal axes)
Inequivalent atoms, fractional coordinates:
Ac 0.0000 0.0000 0.1174 (multiplicity 6)
Ac 0.0000 0.0000 0.3696 (multiplicity 6)
In 0.0000 0.0000 0.5000 (multiplicity 3)
Ag 0.0000 0.0000 0.2423 (multiplicity 6)
Pd 0.0000 0.0000 0.0000 (multiplicity 3)

Computed, not measured: a relaxed CeErTh2S4 crystal at the PBE-GGA level of DFT.

Values from the calculation:
Total energy: -57.2 eV for the cell shown
Spin magnetization: 0.18 μB/f.u.
ΔE_f (raw): -1.9196 eV per atom

a b c (Å): 6.854 3.972 6.986
angles (deg): 90.00 109.07 90.00
Space group P2/m (No. 10)
Inequivalent atoms, fractional coordinates:
Ce 0.000 0.000 0.000 (multiplicity 1)
Er 0.500 0.500 0.000 (multiplicity 1)
Th 0.000 0.500 0.500 (multiplicity 1)
Th 0.500 0.000 0.500 (multiplicity 1)
S 0.254 0.500 0.241 (multiplicity 2)
S 0.261 0.000 0.764 (multiplicity 2)

Computed, not measured: a relaxed Ba2MnZn crystal at the PBE-GGA level of DFT.

Values from the calculation:
Total energy: -41.9 eV for the cell shown
Spin magnetization: 0.07 μB/f.u.
Formation enthalpy at 0 K: 3.81 eV/f.u.

a b c (Å): 8.755 8.755 6.379
angles (deg): 90.00 90.00 90.00
Space group I-42d (No. 122)
Inequivalent atoms, fractional coordinates:
Ba 0.203 0.250 0.125 (multiplicity 8)
Mn 0.000 0.000 0.000 (multiplicity 4)
Zn 0.000 0.000 0.500 (multiplicity 4)

Computed, not measured: a relaxed GdGa2Ge crystal at the PBE-GGA level of DFT.

Values from the calculation:
Total energy: -76.8 eV for the cell shown
Spin magnetization: 7.04 μB/f.u.
Formation enthalpy at 0 K: -0.86 eV/f.u.

a b c (Å): 4.9572 4.9572 12.0930
angles (deg): 90.00 90.00 120.00
Space group R-3m (No. 166, hexagonal axes)
Inequivalent atoms, fractional coordinates:
Gd 0.0000 0.0000 0.0000 (multiplicity 3)
Ga 0.0000 0.0000 0.2506 (multiplicity 6)
Ge 0.0000 0.0000 0.5000 (multiplicity 3)

- The lowest total energy belongs to which entry?
  Ac4InAg2Pd

Please write out number 3 again, unchanged.
Computed, not measured: a relaxed RbTiIN2 crystal at the PBE-GGA level of DFT.

Values from the calculation:
Total energy: -25.9 eV for the cell shown
Spin magnetization: 0.42 μB/f.u.
ΔE_f (raw): 0.2245 eV per atom

a b c (Å): 4.268 4.268 5.820
angles (deg): 90.00 90.00 90.00
Space group P4/mmm (No. 123)
Inequivalent atoms, fractional coordinates:
Rb 0.000 0.000 0.000 (multiplicity 1)
Ti 0.500 0.500 0.500 (multiplicity 1)
I 0.500 0.500 0.000 (multiplicity 1)
N 0.000 0.500 0.500 (multiplicity 2)

What did the eighth record say?
Computed, not measured: a relaxed ZnReI3 crystal at the PBE-GGA level of DFT.

Values from the calculation:
Total energy: -15.1 eV for the cell shown
Spin magnetization: 3.09 μB/f.u.
ΔE_f (raw): 0.6558 eV per atom

a b c (Å): 5.557 5.557 5.557
angles (deg): 90.00 90.00 90.00
Space group Pm-3m (No. 221)
Inequivalent atoms, fractional coordinates:
Zn 0.000 0.000 0.000 (multiplicity 1)
Re 0.500 0.500 0.500 (multiplicity 1)
I 0.000 0.500 0.500 (multiplicity 3)

Copy entry 8 word for word.
Computed, not measured: a relaxed ZnReI3 crystal at the PBE-GGA level of DFT.

Values from the calculation:
Total energy: -15.1 eV for the cell shown
Spin magnetization: 3.09 μB/f.u.
ΔE_f (raw): 0.6558 eV per atom

a b c (Å): 5.557 5.557 5.557
angles (deg): 90.00 90.00 90.00
Space group Pm-3m (No. 221)
Inequivalent atoms, fractional coordinates:
Zn 0.000 0.000 0.000 (multiplicity 1)
Re 0.500 0.500 0.500 (multiplicity 1)
I 0.000 0.500 0.500 (multiplicity 3)